No. 1
A plane-wave DFT calculation with GGA-PBE was carried out for a geometry-optimized YErAl4Cu2 structure.

Computed properties:
Symmetry: Amm2
Crystal system: orthorhombic
Calculated total energy: -37.0 eV per cell
Size of the total moment: 0.0 μB per formula unit

```
8
Lattice="6.781 0.000 0.000 0.000 2.103 5.040 0.000 -2.103 5.040" Properties=species:S:1:pos:R:3 pbc="T T T"
Al 1.330 0.000 1.408
Al 5.451 0.000 1.408
Al 2.054 0.000 8.673
Al 4.728 0.000 8.673
Cu 3.391 0.000 2.905
Cu 0.000 0.000 7.172
Er 0.000 0.000 4.316
Y 3.391 0.000 5.763
```

---

No. 2
A plane-wave DFT calculation with GGA-PBE was carried out for a geometry-optimized Pm2Co17 structure.

Computed properties:
Symmetry: R-3m
Crystal system: trigonal
Energy of formation: -0.06 eV/atom
Size of the total moment: 25.2 μB per formula unit

```
19
Lattice="-2.390 -5.140 2.687 5.461 -2.554 1.734 0.005 2.157 5.891" Properties=species:S:1:pos:R:3 pbc="T T T"
Co -1.195 -2.570 1.343
Co -0.147 -4.401 2.415
Co 2.731 -1.277 0.867
Co 3.218 -3.293 2.006
Co 0.295 -0.532 0.990
Co 2.017 -4.729 3.780
Co -1.706 -3.055 3.602
Co 3.902 -1.208 2.922
Co -0.156 -4.510 4.906
Co 3.828 -3.198 4.422
Co 0.002 1.078 2.945
Co -0.752 -2.339 5.889
Co 3.232 -1.027 5.406
Co -0.680 0.072 4.975
Co 1.564 0.811 4.703
Co 1.059 -0.808 6.532
Co 2.780 -5.006 9.322
Pm 1.060 -1.908 3.552
Pm 2.016 -3.629 6.759
```

---

No. 3
A plane-wave DFT calculation with GGA-PBE was carried out for a geometry-optimized RbUI6 structure.

Computed properties:
Symmetry: R-3m
Crystal system: trigonal
Calculated total energy: -28.9 eV per cell
Size of the total moment: 1.0 μB per formula unit

```
8
Lattice="0.474 -8.887 -0.818 7.546 -4.766 0.469 2.072 -5.625 6.629" Properties=species:S:1:pos:R:3 pbc="T T T"
I 4.700 -4.144 0.807
I 1.157 -6.209 0.162
I 8.135 -14.704 2.387
I 1.957 -4.574 3.893
I 5.392 -15.134 5.473
I 8.935 -13.069 6.118
Rb 5.046 -9.639 3.140
U 0.000 0.000 0.000
```

---

No. 4
A plane-wave DFT calculation with GGA-PBE was carried out for a geometry-optimized TmZn2GePt4 structure.

Computed properties:
Symmetry: P4/mmm
Crystal system: tetragonal
Calculated total energy: -41.0 eV per cell
Size of the total moment: 0.0 μB per formula unit

```
8
Lattice="4.272 0.000 0.000 0.000 4.272 0.000 0.000 0.000 7.137" Properties=species:S:1:pos:R:3 pbc="T T T"
Ge 0.000 0.000 0.000
Pt 2.136 0.000 1.615
Pt 0.000 2.136 1.615
Pt 2.136 0.000 5.521
Pt 0.000 2.136 5.521
Tm 2.136 2.136 3.568
Zn 2.136 2.136 0.000
Zn 0.000 0.000 3.568
```

---

No. 5
A plane-wave DFT calculation with GGA-PBE was carried out for a geometry-optimized HoLuSn structure.

Computed properties:
Symmetry: F-43m
Crystal system: cubic
Calculated total energy: -12.6 eV per cell
Size of the total moment: 0.0 μB per formula unit

```
3
Lattice="0.198 -0.533 5.118 -4.056 1.320 2.885 -2.804 -3.643 2.320" Properties=species:S:1:pos:R:3 pbc="T T T"
Ho -1.665 -0.714 2.581
Lu 0.000 0.000 0.000
Sn -4.996 -2.142 7.742
```

---

No. 6
A plane-wave DFT calculation with GGA-PBE was carried out for a geometry-optimized ErZnNi structure.

Computed properties:
Symmetry: P6_3/mmc
Crystal system: hexagonal
Energy of formation: -0.42 eV/atom
Size of the total moment: 0.0 μB per formula unit

```
6
Lattice="4.225 0.000 0.000 -2.113 3.659 0.000 0.000 0.000 6.959" Properties=species:S:1:pos:R:3 pbc="T T T"
Er 0.000 0.000 0.000
Er 0.000 0.000 3.480
Ni 0.000 2.440 1.740
Ni 2.113 1.220 5.219
Zn 2.113 1.220 1.740
Zn 0.000 2.440 5.219
```

---

No. 7
A plane-wave DFT calculation with GGA-PBE was carried out for a geometry-optimized ZrCuBPd structure.

Computed properties:
Symmetry: F-43m
Crystal system: cubic
Excess energy over the best structure of this formula in the dataset: 0.143 eV/atom
Size of the total moment: 0.0 μB per formula unit

```
4
Lattice="1.728 -3.604 -1.633 -2.012 -2.107 -3.187 1.663 0.017 -3.985" Properties=species:S:1:pos:R:3 pbc="T T T"
B 0.000 0.000 0.000
Cu 1.034 -4.271 -6.604
Pd 0.689 -2.847 -4.403
Zr 0.345 -1.424 -2.201
```

---

No. 8
A plane-wave DFT calculation with GGA-PBE was carried out for a geometry-optimized Tb2YIn3CuPt2 structure.

Computed properties:
Symmetry: Amm2
Crystal system: orthorhombic
Calculated total energy: -47.3 eV per cell
Size of the total moment: 0.0 μB per formula unit

```
9
Lattice="3.818 0.000 0.000 0.000 6.663 3.842 0.000 -6.663 3.842" Properties=species:S:1:pos:R:3 pbc="T T T"
Cu 0.000 0.000 7.680
In 1.909 1.675 0.969
In 1.909 -1.675 0.969
In 1.909 0.000 5.745
Pt 1.909 2.228 3.845
Pt 1.909 -2.228 3.845
Tb 0.000 3.915 2.259
Tb 0.000 -3.915 2.259
Y 0.000 0.000 3.163
```